[1]
Entry from OQMD: an optimized crystal structure of TbGd2Sn2Pb5 (PBE-GGA).

Cell lengths 13.1431, 13.1431, 4.7177 Å; angles 90.00, 90.00, 159.62 degrees
With the nearest neighbours (Å) after each atom.
Atoms (fractional coordinates):
Tb 0.0000 0.0000 0.0000  8 Pb 3.31-3.45, 4 Sn 3.41
Gd 0.1871 0.8129 0.0000  2 Sn 3.31, 8 Pb 3.31-3.63
Gd 0.8129 0.1871 0.0000  2 Sn 3.31, 8 Pb 3.31-3.63
Sn 0.4037 0.5963 0.0000  2 Gd 3.31, 8 Pb 3.31-3.70, 2 Tb 3.41
Sn 0.5963 0.4037 0.0000  2 Gd 3.31, 8 Pb 3.31-3.70, 2 Tb 3.41
Pb 0.0973 0.9027 0.5000  2 Gd 3.31, 4 Sn 3.31, 4 Pb 3.43-3.66, 2 Tb 3.45
Pb 0.2936 0.7064 0.5000  2 Pb 3.24, 6 Gd 3.35-3.63
Pb 0.5000 0.5000 0.5000  4 Tb 3.31, 4 Pb 3.43, 4 Sn 3.43
Pb 0.7064 0.2936 0.5000  2 Pb 3.24, 6 Gd 3.35-3.63
Pb 0.9027 0.0973 0.5000  2 Gd 3.31, 4 Sn 3.31, 4 Pb 3.43-3.66, 2 Tb 3.45

## Properties
Symmetry ... Cmmm, No. 65
Uncorrected energy ... -4.46 eV/atom
V ... 283.8 Å³/cell


[2]
Entry from OQMD: an optimized crystal structure of RbCuTe3Pd (PBE-GGA).

Cell lengths 11.3786, 4.2150, 14.4786 Å; angles 90.00, 90.00, 90.00 degrees
With the nearest neighbours (Å) after each atom.
Atoms (fractional coordinates):
Rb 0.2329 0.2500 0.9998  2 Cu 3.51, 8 Te 3.66-3.79
Rb 0.2671 0.7500 0.4998  2 Cu 3.51, 8 Te 3.66-3.79
Rb 0.7329 0.2500 0.5002  2 Cu 3.51, 8 Te 3.66-3.79
Rb 0.7671 0.7500 0.0002  2 Cu 3.51, 8 Te 3.66-3.79
Cu 0.2386 0.2500 0.3071  4 Te 2.57-2.62
Cu 0.2614 0.7500 0.8071  4 Te 2.57-2.62
Cu 0.7386 0.2500 0.1929  4 Te 2.57-2.62
Cu 0.7614 0.7500 0.6929  4 Te 2.57-2.62
Te 0.0329 0.2500 0.3862  1 Cu 2.61, 2 Pd 2.75
Te 0.0373 0.7500 0.8483  1 Cu 2.62, 2 Pd 2.73
Te 0.2455 0.7500 0.2060  2 Cu 2.57, 1 Pd 2.86
Te 0.2545 0.2500 0.7060  2 Cu 2.57, 1 Pd 2.86
Te 0.4627 0.2500 0.3483  1 Cu 2.62, 2 Pd 2.73
Te 0.4671 0.7500 0.8862  1 Cu 2.61, 2 Pd 2.75
Te 0.5329 0.2500 0.1138  1 Cu 2.61, 2 Pd 2.75
Te 0.5373 0.7500 0.6517  1 Cu 2.62, 2 Pd 2.73
Te 0.7455 0.7500 0.2940  2 Cu 2.57, 1 Pd 2.86
Te 0.7545 0.2500 0.7940  2 Cu 2.57, 1 Pd 2.86
Te 0.9627 0.2500 0.1517  1 Cu 2.62, 2 Pd 2.73
Te 0.9671 0.7500 0.6138  1 Cu 2.61, 2 Pd 2.75
Pd 0.0054 0.2500 0.7316  6 Te 2.73-2.99
Pd 0.4946 0.7500 0.2316  6 Te 2.73-2.99
Pd 0.5054 0.2500 0.7684  6 Te 2.73-2.99
Pd 0.9946 0.7500 0.2684  6 Te 2.73-2.99

## Properties
Symmetry ... Pnma, No. 62
Uncorrected energy ... -3.59 eV/atom
V ... 694.4 Å³/cell


[3]
Entry from OQMD: an optimized crystal structure of RbNpSc (PBE-GGA).

Cell lengths 5.7208, 5.7208, 5.7208 Å; angles 60.00, 60.00, 60.00 degrees
With the nearest neighbours (Å) after each atom.
Atoms (fractional coordinates):
Rb 0.0000 0.0000 0.0000  4 Sc 3.50
Np 0.5000 0.5000 0.5000  4 Sc 3.50
Sc 0.7500 0.7500 0.7500  4 Rb 3.50, 4 Np 3.50

## Properties
Symmetry ... F-43m, No. 216
Uncorrected energy ... -5.00 eV/atom
V ... 132.4 Å³/cell


[4]
Entry from OQMD: an optimized crystal structure of K4NbO4 (PBE-GGA).

Cell lengths 6.5992, 6.6369, 9.8748 Å; angles 80.35, 71.36, 67.75 degrees
With the nearest neighbours (Å) after each atom.
Atoms (fractional coordinates):
K 0.0220 0.2634 0.4375  5 O 2.75-2.94
K 0.0988 0.7483 0.1669  4 O 2.68-2.98
K 0.2744 0.2383 0.0263  4 O 2.70-2.82
K 0.4599 0.2228 0.6216  5 O 2.73-3.00
K 0.5401 0.7772 0.3784  5 O 2.73-3.00
K 0.7256 0.7617 0.9737  4 O 2.70-2.82
K 0.9012 0.2517 0.8331  4 O 2.68-2.98
K 0.9780 0.7366 0.5625  5 O 2.75-2.94
Nb 0.3470 0.7228 0.7530  4 O 1.88-1.90
Nb 0.6530 0.2772 0.2470  4 O 1.88-1.90
O 0.1628 0.5451 0.8023  1 Nb 1.90
O 0.2233 0.9472 0.6254  1 Nb 1.89
O 0.3299 0.8647 0.9083  1 Nb 1.88
O 0.3547 0.4486 0.3496  1 Nb 1.90
O 0.6453 0.5514 0.6504  1 Nb 1.90
O 0.6701 0.1353 0.0917  1 Nb 1.88
O 0.7767 0.0528 0.3746  1 Nb 1.89
O 0.8372 0.4549 0.1977  1 Nb 1.90

## Properties
Symmetry ... P-1, No. 2
Uncorrected energy ... -5.63 eV/atom
V ... 378.8 Å³/cell


[5]
Entry from OQMD: an optimized crystal structure of RbZrAgO3 (PBE-GGA).

Cell lengths 12.7403, 3.2913, 10.1687 Å; angles 90.00, 90.00, 90.00 degrees
With the nearest neighbours (Å) after each atom.
Atoms (fractional coordinates):
Rb 0.2492 0.2500 0.1202  5 O 2.72-2.97
Rb 0.2508 0.7500 0.6202  5 O 2.72-2.97
Rb 0.7492 0.2500 0.3798  5 O 2.72-2.97
Rb 0.7508 0.7500 0.8798  5 O 2.72-2.97
Zr 0.0289 0.2500 0.3594  6 O 2.09-2.24
Zr 0.4711 0.7500 0.8594  6 O 2.09-2.24
Zr 0.5289 0.2500 0.1406  6 O 2.09-2.24
Zr 0.9711 0.7500 0.6406  6 O 2.09-2.24
Ag 0.0364 0.2500 0.9101  2 O 2.14
Ag 0.4636 0.7500 0.4101  2 O 2.14
Ag 0.5364 0.2500 0.5899  2 O 2.14
Ag 0.9636 0.7500 0.0899  2 O 2.14
O 0.0714 0.2500 0.5589  3 Zr 2.10-2.24
O 0.0858 0.7500 0.7898  1 Zr 2.11, 2 Ag 2.14
O 0.1175 0.7500 0.2987  2 Zr 2.09
O 0.3825 0.2500 0.7987  2 Zr 2.09
O 0.4142 0.2500 0.2898  1 Zr 2.11, 2 Ag 2.14
O 0.4286 0.7500 0.0589  3 Zr 2.10-2.24
O 0.5714 0.2500 0.9411  3 Zr 2.10-2.24
O 0.5858 0.7500 0.7102  1 Zr 2.11, 2 Ag 2.14
O 0.6175 0.7500 0.2013  2 Zr 2.09
O 0.8825 0.2500 0.7013  2 Zr 2.09
O 0.9142 0.2500 0.2102  1 Zr 2.11, 2 Ag 2.14
O 0.9286 0.7500 0.4411  3 Zr 2.10-2.24

## Properties
Symmetry ... Pnma, No. 62
Uncorrected energy ... -6.51 eV/atom
V ... 426.4 Å³/cell


[6]
Entry from OQMD: an optimized crystal structure of Pr2AlInBr2 (PBE-GGA).

Cell lengths 4.4410, 4.4410, 11.6887 Å; angles 90.00, 90.00, 120.00 degrees
With the nearest neighbours (Å) after each atom.
Atoms (fractional coordinates):
Pr 0.0000 0.0000 0.0000  3 Br 3.10, 3 Al 3.17
Pr 0.0000 0.0000 0.3815  3 Br 3.09, 3 In 3.21
Al 0.6667 0.3333 0.1593  3 In 2.65
In 0.3333 0.6667 0.2159  3 Al 2.65
Br 0.3333 0.6667 0.8509  3 Pr 3.10
Br 0.6667 0.3333 0.5297  3 Pr 3.09

## Properties
Symmetry ... P3m1, No. 156
Uncorrected energy ... -4.32 eV/atom
V ... 199.6 Å³/cell


[7]
Entry from OQMD: an optimized crystal structure of ThCu6 (PBE-GGA).

Cell lengths 8.0945, 5.0822, 10.0770 Å; angles 90.00, 90.00, 90.00 degrees
With the nearest neighbours (Å) after each atom.
Atoms (fractional coordinates):
Th 0.2392 0.2500 0.0652  13 Cu 2.90-3.22
Th 0.2608 0.7500 0.5652  13 Cu 2.90-3.22
Th 0.7392 0.2500 0.4348  13 Cu 2.90-3.22
Th 0.7608 0.7500 0.9348  13 Cu 2.90-3.22
Cu 0.0622 0.0049 0.3089  9 Cu 2.44-2.71
Cu 0.0622 0.4951 0.3089  9 Cu 2.44-2.71
Cu 0.0620 0.7500 0.0972  5 Cu 2.48-2.61
Cu 0.0992 0.2500 0.5153  6 Cu 2.44-2.60
Cu 0.1468 0.7500 0.8576  8 Cu 2.51-2.75
Cu 0.1844 0.2500 0.7567  9 Cu 2.47-2.75
Cu 0.3156 0.7500 0.2567  9 Cu 2.47-2.75
Cu 0.3532 0.2500 0.3576  8 Cu 2.51-2.75
Cu 0.4008 0.7500 0.0153  6 Cu 2.44-2.60
Cu 0.4380 0.2500 0.5972  5 Cu 2.48-2.61
Cu 0.4378 0.5049 0.8089  9 Cu 2.44-2.71
Cu 0.4378 0.9951 0.8089  9 Cu 2.44-2.71
Cu 0.5622 0.0049 0.1911  9 Cu 2.44-2.71
Cu 0.5622 0.4951 0.1911  9 Cu 2.44-2.71
Cu 0.5620 0.7500 0.4028  5 Cu 2.48-2.61
Cu 0.5992 0.2500 0.9847  6 Cu 2.44-2.60
Cu 0.6468 0.7500 0.6424  8 Cu 2.51-2.75
Cu 0.6844 0.2500 0.7433  9 Cu 2.47-2.75
Cu 0.8156 0.7500 0.2433  9 Cu 2.47-2.75
Cu 0.8532 0.2500 0.1424  8 Cu 2.51-2.75
Cu 0.9008 0.7500 0.4847  6 Cu 2.44-2.60
Cu 0.9380 0.2500 0.9028  5 Cu 2.48-2.61
Cu 0.9378 0.5049 0.6911  9 Cu 2.44-2.71
Cu 0.9378 0.9951 0.6911  9 Cu 2.44-2.71

## Properties
Symmetry ... Pnma, No. 62
Uncorrected energy ... -4.39 eV/atom
V ... 414.5 Å³/cell
Calculated formation energy ... -145 meV per atom


[8]
Entry from OQMD: an optimized crystal structure of CsMgFeRe (PBE-GGA).

Cell lengths 4.8517, 4.8517, 4.8517 Å; angles 60.00, 60.00, 60.00 degrees
With the nearest neighbours (Å) after each atom.
Atoms (fractional coordinates):
Cs 0.0000 0.0000 0.0000  4 Re 2.97, 4 Fe 2.97
Mg 0.5000 0.5000 0.5000  4 Fe 2.97, 4 Re 2.97
Fe 0.2500 0.2500 0.2500  4 Mg 2.97, 4 Cs 2.97
Re 0.7500 0.7500 0.7500  4 Cs 2.97, 4 Mg 2.97

## Properties
Symmetry ... F-43m, No. 216
Uncorrected energy ... -3.87 eV/atom
V ... 80.8 Å³/cell


[9]
Entry from OQMD: an optimized crystal structure of CsSmHf (PBE-GGA).

Cell lengths 5.2638, 5.2638, 5.2638 Å; angles 60.00, 60.00, 60.00 degrees
With the nearest neighbours (Å) after each atom.
Atoms (fractional coordinates):
Cs 0.0000 0.0000 0.0000  4 Sm 3.22, 4 Hf 3.22
Sm 0.7500 0.7500 0.7500  4 Cs 3.22
Hf 0.2500 0.2500 0.2500  4 Cs 3.22

## Properties
Symmetry ... F-43m, No. 216
Uncorrected energy ... -3.46 eV/atom
V ... 103.1 Å³/cell


[10]
Entry from OQMD: an optimized crystal structure of MgTaTlCu (PBE-GGA).

Cell lengths 4.6799, 4.6799, 4.6799 Å; angles 60.00, 60.00, 60.00 degrees
With the nearest neighbours (Å) after each atom.
Atoms (fractional coordinates):
Mg 0.0000 0.0000 0.0000  4 Tl 2.87, 4 Ta 2.87
Ta 0.7500 0.7500 0.7500  4 Cu 2.87, 4 Mg 2.87
Tl 0.2500 0.2500 0.2500  4 Mg 2.87, 4 Cu 2.87
Cu 0.5000 0.5000 0.5000  4 Ta 2.87, 4 Tl 2.87

## Properties
Symmetry ... F-43m, No. 216
Uncorrected energy ... -4.21 eV/atom
V ... 72.5 Å³/cell